Entry 1:
# PBE Pr2Si4IrPd3, optimized geometry
# total magnetization: 0.00 μB per formula unit
# E_form (uncorrected): -0.91 eV per atom
data_Pr2Si4IrPd3
_symmetry_space_group_name_H-M 'P 1'
_symmetry_Int_Tables_number 1
_cell_length_a 4.229
_cell_length_b 4.229
_cell_length_c 10.057
_cell_angle_alpha 90.00
_cell_angle_beta 90.00
_cell_angle_gamma 90.00
loop_
_symmetry_equiv_pos_as_xyz
'x,y,z'
loop_
_atom_site_label
_atom_site_fract_x
_atom_site_fract_y
_atom_site_fract_z
Pr1 0.000 0.500 0.244
Pr2 0.500 0.000 0.756
Si1 0.000 0.000 0.000
Si2 0.000 0.500 0.628
Si3 0.500 0.000 0.372
Si4 0.500 0.500 0.000
Ir1 0.000 0.000 0.500
Pd1 0.000 0.500 0.875
Pd2 0.500 0.000 0.125
Pd3 0.500 0.500 0.500

Entry 2:
# PBE BaCa2Re, optimized geometry
# total magnetization: 0.91 μB per formula unit
# ΔE_f: 75 kJ per mole of atoms
data_BaCa2Re
_symmetry_space_group_name_H-M 'P 1'
_symmetry_Int_Tables_number 1
_cell_length_a 3.913
_cell_length_b 3.913
_cell_length_c 8.746
_cell_angle_alpha 90.00
_cell_angle_beta 90.00
_cell_angle_gamma 90.00
loop_
_symmetry_equiv_pos_as_xyz
'x,y,z'
loop_
_atom_site_label
_atom_site_fract_x
_atom_site_fract_y
_atom_site_fract_z
Ba1 0.000 0.000 0.000
Ca1 0.000 0.000 0.622
Ca2 0.500 0.500 0.379
Re1 0.500 0.500 0.759

Q: total magnetization of number 1 (Pr2Si4IrPd3)?
A: 0.00 μB per formula unit